The following is a PBE calculation of Nb2VIr after structural relaxation, from Alexandria via LeMat-Bulk.

Properties
- ΔE to the lowest computed polymorph (eV/atom) = 0.688

Geometry as POSCAR:
```
Nb2VIr
1.0
-0.6598 -0.9791 3.5350
1.0702 -3.4868 -0.7660
9.5985 0.1215 3.7900
Nb Ir V
4 2 2
Cartesian
2.1232 -1.0142 3.0494
2.9838 -2.2745 0.9223
7.3563 -1.5952 3.8783
7.5544 -3.8050 5.2678
0.0000 0.0000 0.0000
4.5719 -1.5453 4.3547
0.2052 -2.2330 1.3845
5.4369 -2.7992 2.2042
```

---

The following is a PBE calculation of NbVIr after structural relaxation, from Alexandria via LeMat-Bulk.

Properties
- ΔE to the lowest computed polymorph (eV/atom) = 0.668

Geometry as POSCAR:
```
NbVIr
1.0
-1.8910 -0.8442 -1.6842
0.8684 -2.5083 0.2821
-3.9660 0.7441 6.1951
Nb Ir V
1 1 1
Cartesian
-2.9618 -2.1864 2.3060
-4.6014 -2.5277 4.3180
-1.0707 -0.2229 1.3139
```

---

The following is a PBE calculation of NbV6Ir after structural relaxation, from Alexandria via LeMat-Bulk.

Geometry as POSCAR:
```
NbV6Ir
1.0
-1.2447 -4.9452 0.8129
2.0391 -0.6675 -4.6741
3.1118 0.4989 4.0643
Nb V Ir
1 6 1
Cartesian
0.0000 0.0000 0.0000
0.6465 -3.4708 2.6251
0.1138 -4.0501 -1.7146
3.7924 -1.0638 1.9177
3.2597 -1.6430 -2.4221
1.6415 -3.8067 0.3066
2.2647 -1.3071 -0.1035
-0.6224 -2.4726 0.4064
```

---

no.,E_tot (eV/atom),E_form (eV/atom)
1,-9.1316,0.3982
2,-8.9091,0.4407
3,-9.2225,-0.0172